Sc2HgOs: relaxed, PBE.

For the magnetization, the calculation gives 0.000 μB/atom. The value obtained for the energy is -6.185 eV per atom.

```
data_Sc2HgOs
_symmetry_space_group_name_H-M 'C 1 2/m 1'
_symmetry_Int_Tables_number 12
_cell_length_a 6.960
_cell_length_b 3.235
_cell_length_c 7.788
_cell_angle_alpha 90.00
_cell_angle_beta 99.74
_cell_angle_gamma 90.00
loop_
_symmetry_equiv_pos_as_xyz
'x,y,z'
'-x,-y,-z'
'-x,y,-z'
'x,-y,z'
'x+1/2,y+1/2,z'
'-x+1/2,-y+1/2,-z'
'-x+1/2,y+1/2,-z'
'x+1/2,-y+1/2,z'
loop_
_atom_site_label
_atom_site_fract_x
_atom_site_fract_y
_atom_site_fract_z
_atom_site_occupancy
Sc1 0.246 0.000 0.202 1
Hg1 0.000 0.000 0.500 1
Os1 0.000 0.500 0.000 1
```


ScHgOs2: relaxed, PBE.

For the magnetization, the calculation gives 0.000 μB/atom. The value obtained for the energy is -6.801 eV per atom.

```
data_ScHgOs2
_symmetry_space_group_name_H-M 'P 4/m m m'
_symmetry_Int_Tables_number 123
_symmetry_space_group_name_Hall '-P 4 2'
_cell_length_a 3.340
_cell_length_b 3.340
_cell_length_c 6.115
_cell_angle_alpha 90.00
_cell_angle_beta 90.00
_cell_angle_gamma 90.00
loop_
_atom_site_label
_atom_site_fract_x
_atom_site_fract_y
_atom_site_fract_z
_atom_site_occupancy
Sc1 0.000 0.000 0.000 1
Hg1 0.000 0.000 0.500 1
Os1 0.500 0.500 0.238 1
```